A geometry-optimized BaCaP2 structure, computed with PBE-GGA.

## Properties
Total DFT energy (no corrections) ... -4.19 eV per atom
Polymorph energy (0 for the lowest one) ... 1.55 eV per formula unit
Formation enthalpy at 0 K ... -49.0 kJ/mol of atoms
Magnetization ... 0.00 μB/f.u.

abc: 5.3809 5.3809 18.1571
angles: 90.00 90.00 90.00
Space group I-42d (No. 122)
Asymmetric unit:
Ba  0.0000  0.0000  0.0000 (multiplicity 4)
Ca  0.0000  0.0000  0.5000 (multiplicity 4)
P  0.0691  0.2500  0.6250 (multiplicity 8)